Record 1
VASP calculation (PBE-GGA) on a geometry-optimized LaPm14Y structure.

Properties
For the formation energy from the elements, the calculation gives 0.209 eV/f.u. The value obtained for the final energy is -77.69 eV per cell.

abc: 7.308 7.308 10.327
angles: 90.00 90.00 90.00
Element x y z (fractional)
La 0.000 0.000 0.000
Pm 0.000 0.000 0.500
Pm 0.000 0.500 0.000
Pm 0.000 0.500 0.500
Pm 0.251 0.251 0.250
Pm 0.251 0.251 0.750
Pm 0.251 0.749 0.250
Pm 0.251 0.749 0.750
Pm 0.500 0.000 0.000
Pm 0.500 0.000 0.500
Pm 0.500 0.500 0.500
Pm 0.749 0.251 0.250
Pm 0.749 0.251 0.750
Pm 0.749 0.749 0.250
Pm 0.749 0.749 0.750
Y 0.500 0.500 0.000

---

Record 2
VASP calculation (PBE-GGA) on a geometry-optimized La2Pm6Y structure.

Properties
For the formation energy from the elements, the calculation gives 0.167 eV/f.u. The value obtained for the final energy is -44.66 eV per cell. The value obtained for the distance to the lowest polymorph of the same formula is 0.0 meV per atom.

abc: 6.334 6.361 8.200
angles: 82.68 75.13 80.44
Element x y z (fractional)
La 0.056 0.111 0.278
La 0.944 0.889 0.722
Pm 0.168 0.332 0.833
Pm 0.279 0.554 0.389
Pm 0.389 0.776 0.945
Pm 0.611 0.224 0.055
Pm 0.721 0.446 0.611
Pm 0.832 0.668 0.167
Y 0.500 0.000 0.500

---

Record 3
VASP calculation (PBE-GGA) on a geometry-optimized LaPmY3 structure.

Properties
For the formation energy from the elements, the calculation gives 0.851 eV/f.u. The value obtained for the final energy is -56.44 eV per cell. The value obtained for the distance to the lowest polymorph of the same formula is 153.8 meV per atom.

abc: 6.565 6.577 9.653
angles: 71.48 89.34 60.20
Element x y z (fractional)
La 0.000 0.000 0.000
La 0.500 0.000 0.500
Pm 0.155 0.285 0.690
Pm 0.845 0.715 0.310
Y 0.001 0.143 0.314
Y 0.344 0.310 0.045
Y 0.425 0.558 0.313
Y 0.575 0.442 0.687
Y 0.656 0.690 0.955
Y 0.999 0.857 0.686

---

Record 4
VASP calculation (PBE-GGA) on a geometry-optimized La3Pm3Y8 structure.

Properties
For the formation energy from the elements, the calculation gives 1.444 eV/f.u. The value obtained for the final energy is -79.30 eV per cell.

abc: 9.879 9.879 9.879
angles: 146.06 113.41 76.89
Element x y z (fractional)
La 0.000 0.000 0.000
La 0.186 0.686 0.500
La 0.814 0.314 0.500
Pm 0.199 0.500 0.699
Pm 0.500 0.500 0.000
Pm 0.801 0.500 0.301
Y 0.120 0.281 0.839
Y 0.238 0.898 0.340
Y 0.441 0.102 0.340
Y 0.443 0.281 0.161
Y 0.557 0.719 0.839
Y 0.559 0.898 0.660
Y 0.762 0.102 0.660
Y 0.880 0.719 0.161

---

Record 5
VASP calculation (PBE-GGA) on a geometry-optimized LaPm15Y4 structure.

Properties
For the formation energy from the elements, the calculation gives 0.302 eV/f.u. The value obtained for the final energy is -101.74 eV per cell.

abc: 5.152 5.152 25.718
angles: 90.00 90.00 90.00
Element x y z (fractional)
La 0.000 0.000 0.000
Pm 0.000 0.500 0.102
Pm 0.000 0.500 0.301
Pm 0.000 0.500 0.500
Pm 0.000 0.500 0.699
Pm 0.000 0.500 0.898
Pm 0.500 0.000 0.102
Pm 0.500 0.000 0.301
Pm 0.500 0.000 0.500
Pm 0.500 0.000 0.699
Pm 0.500 0.000 0.898
Pm 0.500 0.500 0.000
Pm 0.500 0.500 0.202
Pm 0.500 0.500 0.401
Pm 0.500 0.500 0.599
Pm 0.500 0.500 0.798
Y 0.000 0.000 0.202
Y 0.000 0.000 0.401
Y 0.000 0.000 0.599
Y 0.000 0.000 0.798

---

Record 6
VASP calculation (PBE-GGA) on a geometry-optimized La2PmY4 structure.

Properties
For the formation energy from the elements, the calculation gives 1.870 eV/f.u. The value obtained for the final energy is -77.18 eV per cell. The value obtained for the distance to the lowest polymorph of the same formula is 0.0 meV per atom.

abc: 4.628 4.628 22.992
angles: 90.00 90.00 90.00
Element x y z (fractional)
La 0.000 0.000 0.096
La 0.000 0.000 0.904
La 0.500 0.500 0.404
La 0.500 0.500 0.596
Pm 0.000 0.000 0.500
Pm 0.500 0.500 0.000
Y 0.000 0.000 0.361
Y 0.000 0.000 0.639
Y 0.000 0.500 0.250
Y 0.000 0.500 0.750
Y 0.500 0.000 0.250
Y 0.500 0.000 0.750
Y 0.500 0.500 0.139
Y 0.500 0.500 0.861